No. 1
A plane-wave DFT calculation with GGA-PBE was carried out for a geometry-optimized PrSmHgBi structure.

extended XYZ file:
```
4
Lattice="5.504 0.000 0.000 2.752 4.767 0.000 2.752 1.589 4.494" Properties=species:S:1:pos:R:3 pbc="T T T"
Pr 0.000 0.000 0.000
Bi 2.752 1.589 1.124
Sm 5.504 3.178 2.247
Hg 8.257 4.767 3.371
```

## Properties
density	9.9	g/cm3
calculated total energy	-15.96	eV/cell
space-group type	F-43m (216)
energy of formation	-0.571	eV/atom
D(E_F)	3.09	states/eV per cell

***

No. 2
A plane-wave DFT calculation with GGA-PBE was carried out for a geometry-optimized PuHfZnTc structure.

extended XYZ file:
```
4
Lattice="4.769 0.000 0.000 2.384 4.130 0.000 2.384 1.377 3.893" Properties=species:S:1:pos:R:3 pbc="T T T"
Zn 2.384 1.377 0.973
Hf 0.000 0.000 0.000
Tc 7.153 4.130 2.920
Pu 4.769 2.753 1.947
```

## Properties
density	12.7	g/cm3
calculated total energy	-36.11	eV/cell
space-group type	F-43m (216)
energy of formation	-0.045	eV/atom
D(E_F)	8.51	states/eV per cell

***

No. 3
A plane-wave DFT calculation with GGA-PBE was carried out for a geometry-optimized La8Cu3NiI4 structure.

extended XYZ file:
```
16
Lattice="8.576 0.000 0.000 0.000 9.402 0.566 -4.288 -4.295 6.078" Properties=species:S:1:pos:R:3 pbc="T T T"
La -2.211 2.390 6.293
La 0.000 4.602 3.165
La 0.000 0.489 3.380
La 2.211 2.390 6.293
La 2.077 2.717 0.350
La 4.288 4.618 3.264
La 4.288 0.505 3.478
La 6.499 2.717 0.350
Cu 4.288 4.701 0.283
Cu 2.144 2.553 3.322
Cu -2.144 2.553 3.322
Ni 0.000 4.701 0.283
I 4.288 0.000 0.000
I 2.144 -2.148 3.039
I 0.000 0.000 0.000
I -2.144 -2.148 3.039
```

## Properties
density	6.1	g/cm3
calculated total energy	-73.24	eV/cell
raw formation energy	-0.5966	eV per atom
space-group type	C2/m (12)
D(E_F)	19.21	states/eV per cell

***

No. 4
A plane-wave DFT calculation with GGA-PBE was carried out for a geometry-optimized PuMnI6 structure.

extended XYZ file:
```
8
Lattice="7.423 0.010 0.010 3.704 6.434 0.014 3.700 2.138 6.753" Properties=species:S:1:pos:R:3 pbc="T T T"
Pu 0.000 0.000 0.000
Mn 7.414 4.291 3.389
I 5.058 4.215 5.010
I 8.652 2.287 5.012
I 6.303 2.218 1.760
I 6.175 6.295 1.765
I 9.770 4.367 1.767
I 8.525 6.364 5.017
```

## Properties
E above lowest polymorph	0.39	eV/f.u.
density	5.5	g/cm3
calculated total energy	-38.03	eV/cell
raw formation energy	-0.6529	eV per atom
space-group type	R-3 (148)
D(E_F)	11.84	states/eV per cell

***

No. 5
A plane-wave DFT calculation with GGA-PBE was carried out for a geometry-optimized BeRu3N structure.

extended XYZ file:
```
5
Lattice="3.959 0.000 0.000 0.000 3.959 0.000 0.000 0.000 3.959" Properties=species:S:1:pos:R:3 pbc="T T T"
Ru 0.000 1.980 0.000
Ru 0.000 0.000 1.980
Ru 1.980 0.000 0.000
Be 1.980 1.980 1.980
N 0.000 0.000 0.000
```

## Properties
E above lowest polymorph	0.00	eV/f.u.
density	8.7	g/cm3
calculated total energy	-38.69	eV/cell
raw formation energy	0.2381	eV per atom
space-group type	Pm-3m (221)
D(E_F)	6.03	states/eV per cell

***

No. 6
A plane-wave DFT calculation with GGA-PBE was carried out for a geometry-optimized SmTmSc2 structure.

extended XYZ file:
```
4
Lattice="-4.408 -2.730 1.551 -2.197 -3.689 -3.294 0.362 -5.263 1.207" Properties=species:S:1:pos:R:3 pbc="T T T"
Sc -1.561 -2.921 -0.134
Sc -4.682 -8.762 -0.401
Tm 0.000 0.000 0.000
Sm -3.121 -5.841 -0.268
```

## Properties
E above lowest polymorph	0.13	eV/f.u.
density	6.1	g/cm3
calculated total energy	-21.51	eV/cell
space-group type	Fm-3m (225)
energy of formation	0.086	eV/atom
D(E_F)	5.23	states/eV per cell